First-principles (PBE-GGA) data for crystalline Tb5GeAs4 at its relaxed geometry, as listed in Alexandria via LeMat-Bulk.

Cell lengths 5.8553, 7.1743, 7.1743 Å; angles 80.41, 65.92, 65.92 degrees
Last column: nearest neighbours and their distance in Å.
Fractional positions:
1 As 0.2006 0.2007 0.4001  6 Tb 2.90-2.93
2 As 0.6007 0.5999 0.2007  6 Tb 2.90-2.93
3 Tb 0.8995 0.4039 0.7992  5 As 2.90-2.93, 1 Ge 2.95
4 Tb 0.1025 0.5961 0.2008  5 As 2.90-2.93, 1 Ge 2.95
5 As 0.8014 0.7993 0.5999  6 Tb 2.90-2.93
6 Tb 0.6987 0.2008 0.4039  5 As 2.90-2.93, 1 Ge 2.95
7 Tb 0.5010 0.0000 0.0000  2 Ge 2.93, 4 As 2.93
8 Ge 0.0011 0.0000 0.0000  6 Tb 2.93-2.95
9 Tb 0.3034 0.7992 0.5961  5 As 2.90-2.93, 1 Ge 2.95
10 As 0.4013 0.4001 0.7993  6 Tb 2.90-2.93

Properties
The magnetic moment comes out at 0.000 μB/f.u. For the formation energy, the calculation gives -1.357 eV/atom. The crystal system is tetragonal. The space group is I4/m (87).